1.
Material: MoW2I
Method: DFT, PBE
State: relaxed

POSCAR file:
```
MoW2I
1.0
0.0000 3.2771 3.2771
3.2771 0.0000 3.2771
3.2771 3.2771 0.0000
Mo W I
1 2 1
direct
0.0000 0.0000 0.0000
0.2500 0.2500 0.2500
0.7500 0.7500 0.7500
0.5000 0.5000 0.5000
```

size of the total moment: 0.0 μB/cell
formation energy without anion corrections: 1235.6 meV/atom
symmetry: Fm-3m (225)

---

2.
Material: BaTePt2
Method: DFT, PBE
State: relaxed

POSCAR file:
```
BaTePt2
1.0
4.7070 -2.0293 0.0000
4.7070 2.0293 0.0000
-2.6833 0.0000 5.6776
Ba Te Pt
1 1 2
direct
0.0000 0.0000 0.0000
0.1767 0.1767 0.5931
0.4660 0.4660 0.4117
0.7760 0.7760 0.3956
```

size of the total moment: 0.0 μB/cell
formation energy without anion corrections: -680.5 meV/atom
symmetry: Cm (8)

---

3.
Material: SbPO2
Method: DFT, PBE
State: relaxed

POSCAR file:
```
SbPO2
1.0
1.5168 0.8757 6.9625
-1.5168 0.8757 6.9625
0.0000 -1.7514 6.9625
Sb P O
1 1 2
direct
0.0000 0.0000 0.0000
0.5000 0.5000 0.5000
0.4219 0.4219 0.4219
0.5781 0.5781 0.5781
```

size of the total moment: 0.0 μB/cell
formation energy without anion corrections: -506.5 meV/atom
symmetry: R-3m (166)

---

4.
Material: Ce4As2PAu
Method: DFT, PBE
State: relaxed

POSCAR file:
```
Ce4As2PAu
1.0
7.2976 0.0000 0.0000
0.0000 4.1698 0.0000
-2.3899 0.0000 6.9763
Ce As P Au
4 2 1 1
direct
0.2459 0.0000 0.2383
0.2525 0.5000 0.7605
0.7475 0.5000 0.2395
0.7541 0.0000 0.7617
0.0000 0.0000 0.5000
0.0000 0.5000 0.0000
0.5000 0.0000 0.0000
0.5000 0.5000 0.5000
```

formation enthalpy at 0 K: -1.150 eV per atom
size of the total moment: 3.9 μB/cell
symmetry: P2/m (10)

---

5.
Material: PrCuAgPd
Method: DFT, PBE
State: relaxed

POSCAR file:
```
PrCuAgPd
1.0
0.0000 3.4314 3.4314
3.4314 0.0000 3.4314
3.4314 3.4314 0.0000
Pr Cu Ag Pd
1 1 1 1
direct
0.0000 0.0000 0.0000
0.2500 0.2500 0.2500
0.5000 0.5000 0.5000
0.7500 0.7500 0.7500
```

formation enthalpy at 0 K: -0.270 eV per atom
size of the total moment: 0.0 μB/cell
symmetry: F-43m (216)

---

6.
Material: CdIrBr2
Method: DFT, PBE
State: relaxed

POSCAR file:
```
CdIrBr2
1.0
1.8093 -3.3953 0.0000
1.8093 3.3953 0.0000
0.0000 0.0000 10.1304
Cd Ir Br
1 1 2
direct
0.0000 0.0000 0.0000
0.0000 0.0000 0.5000
0.5000 0.5000 0.3353
0.5000 0.5000 0.6647
```

size of the total moment: 0.9 μB/cell
formation energy without anion corrections: 340.2 meV/atom
symmetry: Cmmm (65)

---

7.
Material: Co2NiBr
Method: DFT, PBE
State: relaxed

POSCAR file:
```
Co2NiBr
1.0
3.0702 0.0000 0.0000
0.0000 4.0362 0.0000
0.0000 0.0000 4.3185
Co Ni Br
2 1 1
direct
0.0000 0.0000 0.0000
0.5000 0.5000 0.0000
0.0000 0.5000 0.5000
0.5000 0.0000 0.5000
```

size of the total moment: 3.9 μB/cell
formation energy without anion corrections: 740.4 meV/atom
symmetry: Pmmm (47)

---

8.
Material: Tb3CePr8
Method: DFT, PBE
State: relaxed

POSCAR file:
```
Tb3CePr8
1.0
-4.3990 4.3990 5.8226
4.3990 -4.3990 5.8226
4.3990 4.3990 -5.8226
Tb Ce Pr
3 1 8
direct
0.0000 0.0000 0.0000
0.2500 0.7500 0.5000
0.7500 0.2500 0.5000
0.5000 0.5000 0.0000
0.1361 0.3796 0.0000
0.2441 0.2441 0.5230
0.2789 0.7559 0.0000
0.3796 0.1361 0.0000
0.6204 0.6204 0.7566
0.7211 0.7211 0.4770
0.7559 0.2789 0.0000
0.8639 0.8639 0.2434
```

formation enthalpy at 0 K: 0.529 eV per atom
size of the total moment: 0.0 μB/cell
symmetry: I-42m (121)